Record 1
# TaTcBr2, optimized geometry, DFT PBE
data_TaTcBr2
_chemical_formula_sum 'Ta2 Tc2 Br4'
_cell_length_a 3.345
_cell_length_b 4.549
_cell_length_c 12.357
_cell_angle_alpha 90.00
_cell_angle_beta 90.00
_cell_angle_gamma 90.00
_symmetry_space_group_name_H-M 'I m m 2'
_symmetry_Int_Tables_number 44
_symmetry_space_group_name_Hall 'I 2 -2'
loop_
_atom_site_label
_atom_site_type_symbol
_atom_site_fract_x
_atom_site_fract_y
_atom_site_fract_z
Ta1 Ta 0.000 0.000 0.000
Tc1 Tc 0.000 0.500 0.637
Br1 Br 0.000 0.000 0.375
Br2 Br 0.000 0.500 0.137
# Energy relative to the lowest polymorph listed for this composition ... 558 meV/atom
# Density of states at the Fermi level ... 2.4 states/eV/cell
# Energy relative to the elements, uncorrected ... 145 kJ/mol of formula units
# Uncorrected energy ... -48.1 eV per cell
# Mass density ... 7.75 g/cm3

Record 2
# TaTcBr2, optimized geometry, DFT PBE
data_TaTcBr2
_chemical_formula_sum 'Ta2 Tc2 Br4'
_cell_length_a 4.468
_cell_length_b 4.482
_cell_length_c 9.063
_cell_angle_alpha 90.00
_cell_angle_beta 90.00
_cell_angle_gamma 90.00
_symmetry_space_group_name_H-M 'C m m 2'
_symmetry_Int_Tables_number 35
_symmetry_space_group_name_Hall 'C 2 -2'
loop_
_atom_site_label
_atom_site_type_symbol
_atom_site_fract_x
_atom_site_fract_y
_atom_site_fract_z
Ta1 Ta 0.000 0.000 0.000
Tc1 Tc 0.000 0.500 0.834
Br1 Br 0.000 0.000 0.628
Br2 Br 0.000 0.500 0.218
# Energy relative to the lowest polymorph listed for this composition ... 264 meV/atom
# Density of states at the Fermi level ... 7.3 states/eV/cell
# Energy relative to the elements, uncorrected ... 32 kJ/mol of formula units
# Uncorrected energy ... -50.5 eV per cell
# Mass density ... 8.03 g/cm3

Record 3
# TaTcBr2, optimized geometry, DFT PBE
data_TaTcBr2
_chemical_formula_sum 'Ta3 Tc3 Br6'
_cell_length_a 3.1525
_cell_length_b 3.1525
_cell_length_c 26.8093
_cell_angle_alpha 90.00
_cell_angle_beta 90.00
_cell_angle_gamma 120.00
_symmetry_space_group_name_H-M 'R -3 m'
_symmetry_Int_Tables_number 166
_symmetry_space_group_name_Hall '-R 3 2"'
loop_
_atom_site_label
_atom_site_type_symbol
_atom_site_fract_x
_atom_site_fract_y
_atom_site_fract_z
Ta1 Ta 0.0000 0.0000 0.0000
Tc1 Tc 0.0000 0.0000 0.5000
Br1 Br 0.0000 0.0000 0.4070
# Energy relative to the lowest polymorph listed for this composition ... 776 meV/atom
# Density of states at the Fermi level ... 11.3 states/eV/cell
# Energy relative to the elements, uncorrected ... 230 kJ/mol of formula units
# Uncorrected energy ... -69.6 eV per cell
# Mass density ... 9.47 g/cm3

Record 4
# TaTcBr2, optimized geometry, DFT PBE
data_TaTcBr2
_chemical_formula_sum 'Ta2 Tc2 Br4'
_cell_length_a 15.018
_cell_length_b 3.212
_cell_length_c 4.239
_cell_angle_alpha 90.00
_cell_angle_beta 95.48
_cell_angle_gamma 90.00
_symmetry_space_group_name_H-M 'C 1 2/m 1'
_symmetry_Int_Tables_number 12
_symmetry_space_group_name_Hall '-C 2y'
loop_
_atom_site_label
_atom_site_type_symbol
_atom_site_fract_x
_atom_site_fract_y
_atom_site_fract_z
Ta1 Ta 0.000 0.000 0.000
Tc1 Tc 0.000 0.500 0.500
Br1 Br 0.143 0.500 0.219
# Energy relative to the lowest polymorph listed for this composition ... 245 meV/atom
# Density of states at the Fermi level ... 7.6 states/eV/cell
# Energy relative to the elements, uncorrected ... 24 kJ/mol of formula units
# Uncorrected energy ... -50.6 eV per cell
# Mass density ... 7.16 g/cm3

Record 5
# Ta2TeBr, optimized geometry, DFT PBE
data_Ta2TeBr
_chemical_formula_sum 'Ta4 Te2 Br2'
_cell_length_a 9.405
_cell_length_b 3.415
_cell_length_c 5.357
_cell_angle_alpha 90.00
_cell_angle_beta 104.34
_cell_angle_gamma 90.00
_symmetry_space_group_name_H-M 'C 1 m 1'
_symmetry_Int_Tables_number 8
_symmetry_space_group_name_Hall 'C -2y'
loop_
_atom_site_label
_atom_site_type_symbol
_atom_site_fract_x
_atom_site_fract_y
_atom_site_fract_z
Ta1 Ta 0.000 0.000 0.000
Ta2 Ta 0.221 0.500 0.272
Te1 Te 0.480 0.000 0.508
Br1 Br 0.259 0.000 0.894
# Energy relative to the lowest polymorph listed for this composition ... 598 meV/atom
# Density of states at the Fermi level ... 5.2 states/eV/cell
# Energy relative to the elements, uncorrected ... 135 kJ/mol of formula units
# Uncorrected energy ... -54.2 eV per cell
# Mass density ... 11.34 g/cm3

Record 6
# Ta2TeBr, optimized geometry, DFT PBE
data_Ta2TeBr
_chemical_formula_sum 'Ta8 Te4 Br4'
_cell_length_a 6.948
_cell_length_b 6.948
_cell_length_c 6.948
_cell_angle_alpha 90.00
_cell_angle_beta 90.00
_cell_angle_gamma 90.00
_symmetry_space_group_name_H-M 'F -4 3 m'
_symmetry_Int_Tables_number 216
_symmetry_space_group_name_Hall 'F -4 2 3'
loop_
_atom_site_label
_atom_site_type_symbol
_atom_site_fract_x
_atom_site_fract_y
_atom_site_fract_z
Ta1 Ta 0.000 0.000 0.000
Ta2 Ta 0.250 0.250 0.250
Te1 Te 0.250 0.250 0.750
Br1 Br 0.000 0.000 0.500
# Energy relative to the lowest polymorph listed for this composition ... 1093 meV/atom
# Density of states at the Fermi level ... 13.3 states/eV/cell
# Energy relative to the elements, uncorrected ... 326 kJ/mol of formula units
# Uncorrected energy ... -100.6 eV per cell
# Mass density ... 11.28 g/cm3

Record 7
# Ta2TeBr, optimized geometry, DFT PBE
data_Ta2TeBr
_chemical_formula_sum 'Ta4 Te2 Br2'
_cell_length_a 3.262
_cell_length_b 6.048
_cell_length_c 10.592
_cell_angle_alpha 105.86
_cell_angle_beta 93.36
_cell_angle_gamma 93.27
_symmetry_space_group_name_H-M 'P 1'
_symmetry_Int_Tables_number 1
_symmetry_space_group_name_Hall 'P 1'
loop_
_atom_site_label
_atom_site_type_symbol
_atom_site_fract_x
_atom_site_fract_y
_atom_site_fract_z
Ta1 Ta 0.000 0.000 0.000
Ta2 Ta 0.091 0.515 0.006
Ta3 Ta 0.462 0.901 0.200
Ta4 Ta 0.820 0.355 0.211
Te1 Te 0.507 0.171 0.826
Te2 Te 0.970 0.635 0.761
Br1 Br 0.016 0.127 0.402
Br2 Br 0.404 0.635 0.383
# Energy relative to the lowest polymorph listed for this composition ... 59 meV/atom
# Density of states at the Fermi level ... 3.7 states/eV/cell
# Energy relative to the elements, uncorrected ... -73 kJ/mol of formula units
# Uncorrected energy ... -58.6 eV per cell
# Mass density ... 9.45 g/cm3

Record 8
# Ta2TeBr, optimized geometry, DFT PBE
data_Ta2TeBr
_chemical_formula_sum 'Ta8 Te4 Br4'
_cell_length_a 16.189
_cell_length_b 3.435
_cell_length_c 7.075
_cell_angle_alpha 90.00
_cell_angle_beta 101.26
_cell_angle_gamma 90.00
_symmetry_space_group_name_H-M 'C 1 m 1'
_symmetry_Int_Tables_number 8
_symmetry_space_group_name_Hall 'C -2y'
loop_
_atom_site_label
_atom_site_type_symbol
_atom_site_fract_x
_atom_site_fract_y
_atom_site_fract_z
Ta1 Ta 0.000 0.000 0.000
Ta2 Ta 0.024 0.500 0.691
Ta3 Ta 0.346 0.000 0.836
Ta4 Ta 0.388 0.500 0.575
Te1 Te 0.062 0.500 0.309
Te2 Te 0.156 0.000 0.864
Br1 Br 0.260 0.000 0.469
Br2 Br 0.360 0.500 0.146
# Energy relative to the lowest polymorph listed for this composition ... 115 meV/atom
# Density of states at the Fermi level ... 7.6 states/eV/cell
# Energy relative to the elements, uncorrected ... -52 kJ/mol of formula units
# Uncorrected energy ... -116.2 eV per cell
# Mass density ... 9.80 g/cm3